Below is a relaxed structure of Zr2NbGa, with properties calculated at the PBE level.

Cell lengths 3.512, 3.512, 6.415 Å; angles 90.00, 90.00, 90.00 degrees
Fractional positions:
1 Zr 0.000 0.000 0.247
2 Zr 0.000 0.000 0.753
3 Nb 0.500 0.500 0.500
4 Ga 0.500 0.500 0.000

## Properties
Formation energy in eV/atom: -0.273
N(E_F) in states/eV per cell: 5.78

Below is a relaxed structure of NdGa3, with properties calculated at the PBE level.

Cell lengths 4.384, 4.384, 4.384 Å; angles 90.00, 90.00, 90.00 degrees
Fractional positions:
1 Nd 0.000 0.000 0.000
2 Ga 0.000 0.500 0.500
3 Ga 0.500 0.000 0.500
4 Ga 0.500 0.500 0.000

## Properties
Formation energy in eV/atom: -0.519
N(E_F) in states/eV per cell: 2.34
Distance to the lowest polymorph of the same formula in eV per atom: 0.059

Below is a relaxed structure of Nd5Ga, with properties calculated at the PBE level.

Cell lengths 8.149, 8.149, 4.884 Å; angles 90.00, 90.00, 144.94 degrees
Fractional positions:
1 Nd 0.000 0.000 0.000
2 Nd 0.161 0.839 0.500
3 Nd 0.343 0.657 0.000
4 Nd 0.657 0.343 0.000
5 Nd 0.839 0.161 0.500
6 Ga 0.500 0.500 0.500

## Properties
Formation energy in eV/atom: -0.114
N(E_F) in states/eV per cell: 7.70

Below is a relaxed structure of NdGa4, with properties calculated at the PBE level.

Cell lengths 7.899, 7.899, 7.899 Å; angles 146.36, 131.69, 60.16 degrees
Fractional positions:
1 Nd 0.366 0.116 0.250
2 Nd 0.634 0.884 0.750
3 Ga 0.000 0.500 0.500
4 Ga 0.140 0.890 0.250
5 Ga 0.153 0.699 0.454
6 Ga 0.255 0.301 0.954
7 Ga 0.500 0.500 0.000
8 Ga 0.745 0.699 0.046
9 Ga 0.847 0.301 0.546
10 Ga 0.860 0.110 0.750

## Properties
Formation energy in eV/atom: -0.450
N(E_F) in states/eV per cell: 3.40
Distance to the lowest polymorph of the same formula in eV per atom: 0.000

Below is a relaxed structure of NdGa3, with properties calculated at the PBE level.

Cell lengths 7.889, 7.889, 7.889 Å; angles 48.14, 48.14, 48.14 degrees
Fractional positions:
1 Nd 0.000 0.000 0.000
2 Nd 0.214 0.214 0.214
3 Nd 0.786 0.786 0.786
4 Ga 0.000 0.500 0.500
5 Ga 0.279 0.698 0.698
6 Ga 0.302 0.302 0.721
7 Ga 0.302 0.721 0.302
8 Ga 0.500 0.000 0.500
9 Ga 0.500 0.500 0.000
10 Ga 0.698 0.279 0.698
11 Ga 0.698 0.698 0.279
12 Ga 0.721 0.302 0.302

## Properties
Formation energy in eV/atom: -0.555
N(E_F) in states/eV per cell: 5.21
Distance to the lowest polymorph of the same formula in eV per atom: 0.023

Below is a relaxed structure of Nd3Ga4, with properties calculated at the PBE level.

Cell lengths 9.891, 9.891, 9.891 Å; angles 155.32, 154.29, 35.94 degrees
Fractional positions:
1 Nd 0.000 0.000 0.000
2 Nd 0.184 0.684 0.500
3 Nd 0.816 0.316 0.500
4 Ga 0.358 0.858 0.500
5 Ga 0.434 0.434 0.000
6 Ga 0.566 0.566 0.000
7 Ga 0.642 0.142 0.500

## Properties
Formation energy in eV/atom: -0.634
N(E_F) in states/eV per cell: 5.18
Distance to the lowest polymorph of the same formula in eV per atom: 0.000